Record 1
Compound: Ca2SnPb2
Source: the Alexandria database
Functional: PBEsol
Structure: optimized geometry

Cell lengths 4.677, 7.956, 7.956 Å; angles 90.00, 90.00, 90.00 degrees
Fractional coordinates of all 10 atoms:
Pb: 0.000 0.135 0.365
Pb: 0.000 0.365 0.865
Pb: 0.000 0.635 0.135
Pb: 0.000 0.865 0.635
Ca: 0.500 0.670 0.830
Ca: 0.500 0.330 0.170
Ca: 0.500 0.830 0.330
Ca: 0.500 0.170 0.670
Sn: 0.000 0.500 0.500
Sn: 0.000 0.000 0.000

Values from the calculation:
* final energy: -0.1381 Ha/atom
* symmetry: P4/mbm (127)
* crystal system: tetragonal
* energy relative to the elements: -0.4544 eV per atom
* total magnetization: 0.000 μB per atom

=====

Record 2
Compound: CaZnSnPb2
Source: the Alexandria database
Functional: PBEsol
Structure: optimized geometry

Cell lengths 5.217, 5.343, 5.343 Å; angles 90.00, 90.00, 90.00 degrees
Fractional coordinates of all 5 atoms:
Ca: 0.500 0.500 0.500
Sn: 0.500 0.000 0.000
Pb: 0.000 0.000 0.500
Pb: 0.000 0.500 0.000
Zn: 0.000 0.000 0.000

Values from the calculation:
* final energy: -0.1155 Ha/atom
* symmetry: P4/mmm (123)
* crystal system: tetragonal
* energy relative to the elements: 0.0519 eV per atom
* total magnetization: 0.000 μB per atom

=====

Record 3
Compound: SrCa2Pb
Source: the Alexandria database
Functional: PBEsol
Structure: optimized geometry

Cell lengths 5.219, 5.219, 6.163 Å; angles 115.05, 115.05, 90.00 degrees
Fractional coordinates of all 4 atoms:
Ca: 0.000 0.000 0.000
Ca: 0.750 0.250 0.500
Pb: 0.500 0.500 0.000
Sr: 0.250 0.750 0.500

Values from the calculation:
* final energy: -0.1034 Ha/atom
* symmetry: I-4m2 (119)
* crystal system: tetragonal
* energy relative to the elements: -0.2862 eV per atom
* total magnetization: 0.000 μB per atom

=====

Record 4
Compound: SrCa2Pb
Source: the Alexandria database
Functional: PBEsol
Structure: optimized geometry

Cell lengths 3.932, 5.098, 7.263 Å; angles 90.00, 100.62, 90.00 degrees
Fractional coordinates of all 4 atoms:
Pb: 0.500 0.500 0.000
Sr: 0.500 0.500 0.500
Ca: 0.099 0.000 0.782
Ca: 0.901 0.000 0.218

Values from the calculation:
* final energy: -0.1026 Ha/atom
* symmetry: P2/m (10)
* crystal system: monoclinic
* energy relative to the elements: -0.2647 eV per atom
* total magnetization: 0.000 μB per atom

=====

Record 5
Compound: SrCaTlPb2
Source: the Alexandria database
Functional: PBEsol
Structure: optimized geometry

Cell lengths 5.678, 5.871, 5.871 Å; angles 90.00, 90.00, 90.00 degrees
Fractional coordinates of all 5 atoms:
Ca: 0.500 0.000 0.000
Sr: 0.500 0.500 0.500
Tl: 0.000 0.000 0.000
Pb: 0.000 0.500 0.000
Pb: 0.000 0.000 0.500

Values from the calculation:
* final energy: -0.1037 Ha/atom
* symmetry: P4/mmm (123)
* crystal system: tetragonal
* energy relative to the elements: 0.0981 eV per atom
* total magnetization: 0.000 μB per atom

=====

Record 6
Compound: Ca3TaPb
Source: the Alexandria database
Functional: PBEsol
Structure: optimized geometry

Cell lengths 5.803, 5.803, 5.803 Å; angles 90.00, 90.00, 90.00 degrees
Site moments in Bohr magnetons follow the coordinates.
Fractional coordinates of all 5 atoms:
Ca: 0.500 0.000 0.000  0.06
Ca: 0.000 0.500 0.000  0.06
Ca: 0.000 0.000 0.500  0.06
Ta: 0.500 0.500 0.500  2.27
Pb: 0.000 0.000 0.000  -0.01

Values from the calculation:
* final energy: -0.1310 Ha/atom
* symmetry: Pm-3m (221)
* crystal system: cubic
* energy relative to the elements: 1.0241 eV per atom
* total magnetization: 0.971 μB per atom

=====

Question: What is the final energy in the fourth record?
Answer: -0.1026 Ha/atom

=====

Question: Which value of total magnetization does entry 1 give?
Answer: 0.000 μB per atom

=====

Copy entry 2 word for word.
Compound: CaZnSnPb2
Source: the Alexandria database
Functional: PBEsol
Structure: optimized geometry

Cell lengths 5.217, 5.343, 5.343 Å; angles 90.00, 90.00, 90.00 degrees
Fractional coordinates of all 5 atoms:
Ca: 0.500 0.500 0.500
Sn: 0.500 0.000 0.000
Pb: 0.000 0.000 0.500
Pb: 0.000 0.500 0.000
Zn: 0.000 0.000 0.000

Values from the calculation:
* final energy: -0.1155 Ha/atom
* symmetry: P4/mmm (123)
* crystal system: tetragonal
* energy relative to the elements: 0.0519 eV per atom
* total magnetization: 0.000 μB per atom